No. 1
BaMn2SnSe8 after structural relaxation, computed with PBE.

a b c (Å): 6.306 6.306 9.287
angles (deg): 90.00 90.00 120.00
Fractional coordinates of all 12 atoms:
Ba  0.000  0.000  0.000
Mn  0.667  0.333  0.242
Mn  0.333  0.667  0.758
Sn  0.000  0.000  0.500
Se  0.333  0.667  0.996
Se  0.332  0.352  0.312
Se  0.648  0.981  0.312
Se  0.667  0.333  0.004
Se  0.352  0.019  0.688
Se  0.668  0.648  0.688
Se  0.981  0.332  0.688
Se  0.019  0.668  0.312

Computed properties:
ΔE_f (raw)   -0.4714 eV/atom
Calculated density   5.2 g/cm3
D(E_F)   3.32 states/eV/cell


No. 2
Ba2CaTa after structural relaxation, computed with PBE.

a b c (Å): 7.696 7.696 7.696
angles (deg): 152.20 130.67 57.57
Fractional coordinates of all 4 atoms:
Ca  0.448  0.448  0.000
Ba  0.048  0.048  0.000
Ba  0.749  0.249  0.500
Ta  0.256  0.756  0.500

Computed properties:
ΔH_f (0 K)   82.8 kJ per mole of atoms
Calculated density   5.1 g/cm3
D(E_F)   5.69 states/eV/cell


No. 3
Tm7SnGe5 after structural relaxation, computed with PBE.

a b c (Å): 5.790 7.867 7.867
angles (deg): 86.61 68.41 68.41
Fractional coordinates of all 13 atoms:
Tm  0.626  0.374  0.374
Tm  0.250  0.750  0.750
Tm  0.001  0.331  0.668
Tm  0.001  0.668  0.331
Tm  0.277  0.223  0.223
Tm  0.536  0.799  0.128
Tm  0.536  0.128  0.799
Sn  0.942  0.058  0.058
Ge  0.500  0.994  0.476
Ge  0.030  0.994  0.476
Ge  0.500  0.476  0.994
Ge  0.030  0.476  0.994
Ge  0.771  0.729  0.729

Computed properties:
ΔH_f (0 K)   -50.8 kJ per mole of atoms
Calculated density   9.0 g/cm3
D(E_F)   9.26 states/eV/cell


No. 4
GeAs2Pd9Pb3 after structural relaxation, computed with PBE.

a b c (Å): 6.729 6.729 8.121
angles (deg): 90.00 90.00 120.00
Fractional coordinates of all 15 atoms:
Ge  0.000  0.000  0.500
As  0.333  0.667  0.189
As  0.667  0.333  0.811
Pd  0.859  0.141  0.722
Pd  0.859  0.719  0.722
Pd  0.281  0.141  0.722
Pd  0.719  0.859  0.278
Pd  0.141  0.281  0.278
Pd  0.141  0.859  0.278
Pd  0.500  0.000  0.000
Pd  0.000  0.500  0.000
Pd  0.500  0.500  0.000
Pb  0.333  0.667  0.684
Pb  0.000  0.000  0.000
Pb  0.667  0.333  0.316

Computed properties:
ΔH_f (0 K)   -18.5 kJ per mole of atoms
Calculated density   9.4 g/cm3
D(E_F)   6.09 states/eV/cell


Please write out number 1 again, unchanged.
BaMn2SnSe8 after structural relaxation, computed with PBE.

a b c (Å): 6.306 6.306 9.287
angles (deg): 90.00 90.00 120.00
Fractional coordinates of all 12 atoms:
Ba  0.000  0.000  0.000
Mn  0.667  0.333  0.242
Mn  0.333  0.667  0.758
Sn  0.000  0.000  0.500
Se  0.333  0.667  0.996
Se  0.332  0.352  0.312
Se  0.648  0.981  0.312
Se  0.667  0.333  0.004
Se  0.352  0.019  0.688
Se  0.668  0.648  0.688
Se  0.981  0.332  0.688
Se  0.019  0.668  0.312

Computed properties:
ΔE_f (raw)   -0.4714 eV/atom
Calculated density   5.2 g/cm3
D(E_F)   3.32 states/eV/cell